Tl8Hg2Rh | GGA-PBE | optimized geometry

a = 10.2057 Å, b = 10.2057 Å, c = 6.5261 Å
α = 102.44°, β = 102.44°, γ = 28.41°
Fractional coordinates of all 11 atoms:
Tl 0.0198 0.0198 0.2744
Tl 0.2168 0.2168 0.7334
Tl 0.3642 0.3642 0.5526
Tl 0.4130 0.4130 0.0860
Tl 0.5870 0.5870 0.9140
Tl 0.6358 0.6358 0.4474
Tl 0.7832 0.7832 0.2666
Tl 0.9802 0.9802 0.7256
Hg 0.1803 0.1803 0.1735
Hg 0.8197 0.8197 0.8265
Rh 0.5000 0.5000 0.5000

SG = C2/m (12)
Formation enthalpy at 0 K = 50 kJ/mol of formula units
VASP energy = -2.40 eV/atom

---

TlHg2Rh | GGA-PBE | optimized geometry

a = 9.5911 Å, b = 9.5911 Å, c = 9.5911 Å
α = 19.96°, β = 19.96°, γ = 19.96°
Fractional coordinates of all 4 atoms:
Tl 0.0000 0.0000 0.0000
Hg 0.2364 0.2364 0.2364
Hg 0.4786 0.4786 0.4786
Rh 0.7388 0.7388 0.7388

SG = R3m (160)
Formation enthalpy at 0 K = 78 kJ/mol of formula units
VASP energy = -2.38 eV/atom

---

TlHg2Rh | GGA-PBE | optimized geometry

a = 5.1590 Å, b = 5.1590 Å, c = 3.4428 Å
α = 90.00°, β = 90.00°, γ = 112.13°
Fractional coordinates of all 4 atoms:
Tl 0.0000 0.0000 0.0000
Hg 0.0000 0.5000 0.5000
Hg 0.5000 0.0000 0.5000
Rh 0.5000 0.5000 0.0000

SG = Cmmm (65)
Formation enthalpy at 0 K = 100 kJ/mol of formula units
VASP energy = -2.32 eV/atom

---

TlHgRh | GGA-PBE | optimized geometry

a = 4.5922 Å, b = 4.5922 Å, c = 4.5922 Å
α = 60.00°, β = 60.00°, γ = 60.00°
Fractional coordinates of all 3 atoms:
Tl 0.0000 0.0000 0.0000
Hg 0.5000 0.5000 0.5000
Rh 0.7500 0.7500 0.7500

SG = F-43m (216)
Formation enthalpy at 0 K = 46 kJ/mol of formula units
VASP energy = -3.18 eV/atom

---

TlHg2Rh | GGA-PBE | optimized geometry

a = 3.4852 Å, b = 4.7544 Å, c = 5.5630 Å
α = 90.00°, β = 103.31°, γ = 90.00°
Fractional coordinates of all 4 atoms:
Tl 0.0000 0.0000 0.0000
Hg 0.3571 0.5000 0.7263
Hg 0.6429 0.5000 0.2737
Rh 0.0000 0.0000 0.5000

SG = P2/m (10)
Formation enthalpy at 0 K = 80 kJ/mol of formula units
VASP energy = -2.37 eV/atom

---

TlHgRh | GGA-PBE | optimized geometry

a = 6.5538 Å, b = 6.5538 Å, c = 6.3439 Å
α = 90.00°, β = 90.00°, γ = 152.21°
Fractional coordinates of all 6 atoms:
Tl 0.1424 0.8576 0.7500
Tl 0.8576 0.1424 0.2500
Hg 0.1403 0.8597 0.2500
Hg 0.8597 0.1403 0.7500
Rh 0.5000 0.5000 0.0000
Rh 0.5000 0.5000 0.5000

SG = Cmcm (63)
Formation enthalpy at 0 K = 45 kJ/mol of formula units
VASP energy = -3.18 eV/atom

---

Question: The lowest formation enthalpy at 0 K belongs to which entry?
Answer: number 6

---

Repeat the fifth record exactly.
TlHg2Rh | GGA-PBE | optimized geometry

a = 3.4852 Å, b = 4.7544 Å, c = 5.5630 Å
α = 90.00°, β = 103.31°, γ = 90.00°
Fractional coordinates of all 4 atoms:
Tl 0.0000 0.0000 0.0000
Hg 0.3571 0.5000 0.7263
Hg 0.6429 0.5000 0.2737
Rh 0.0000 0.0000 0.5000

SG = P2/m (10)
Formation enthalpy at 0 K = 80 kJ/mol of formula units
VASP energy = -2.37 eV/atom

---

Question: Which value of VASP energy does entry 2 give?
Answer: -2.38 eV/atom